# Ta2ZnCd | Alexandria via LeMat-Bulk | GGA-PBE | relaxed
data_Ta2ZnCd
_chemical_formula_sum 'Ta6 Zn3 Cd3'
_cell_length_a 2.9275
_cell_length_b 2.9275
_cell_length_c 29.7319
_cell_angle_alpha 90.00
_cell_angle_beta 90.00
_cell_angle_gamma 120.00
_symmetry_space_group_name_H-M 'P 1'
_symmetry_Int_Tables_number 1
_symmetry_space_group_name_Hall 'P 1'
loop_
_atom_site_label
_atom_site_fract_x
_atom_site_fract_y
_atom_site_fract_z
Ta1 0.0000 0.0000 0.0000
Ta2 0.0000 0.0000 0.2480
Ta3 0.3333 0.6667 0.6667
Ta4 0.3333 0.6667 0.9146
Ta5 0.6667 0.3333 0.3333
Ta6 0.6667 0.3333 0.5813
Zn1 0.0000 0.0000 0.7440
Zn2 0.3333 0.6667 0.4106
Zn3 0.6667 0.3333 0.0773
Cd1 0.0000 0.0000 0.4935
Cd2 0.3333 0.6667 0.1602
Cd3 0.6667 0.3333 0.8268
# - Energy above the lowest structure with this stoichiometry: 13.5 kJ/mol of atoms
# - Symmetry: R3m
# - E_form: 0.2196 eV/atom
# - Total magnetic moment: 0.00 μB/cell